Entry 1:
Computed, not measured: a relaxed Ca2MgAs crystal at the PBE level of DFT.

Unit cell a=5.3834 b=5.3834 c=5.3834 alpha=60.00 beta=60.00 gamma=60.00
Positions (direct):
As (0.5000, 0.5000, 0.5000)
Ca (0.0000, 0.0000, 0.0000)
Ca (0.2500, 0.2500, 0.2500)
Mg (0.7500, 0.7500, 0.7500)

Output
final energy: -10.8 eV per cell
formation energy: -0.54 eV/f.u.

***

Entry 2:
Computed, not measured: a relaxed CaMgAs2 crystal at the PBE level of DFT.

Unit cell a=3.7199 b=3.7187 c=6.2675 alpha=90.00 beta=90.00 gamma=90.00
Positions (direct):
As (0.0000, 0.0000, 0.9716)
As (0.0000, 0.0000, 0.5284)
Ca (0.5000, 0.5000, 0.2500)
Mg (0.5000, 0.5000, 0.7500)

Output
final energy: -15.2 eV per cell
formation energy: -2.32 eV/f.u.

***

Entry 3:
Computed, not measured: a relaxed CaMgAs2 crystal at the PBE level of DFT.

Unit cell a=3.8682 b=3.4037 c=7.0651 alpha=69.95 beta=90.00 gamma=90.00
Positions (direct):
As (0.0000, 0.9913, 0.9790)
As (0.0000, 0.5087, 0.5210)
Ca (0.5000, 0.2500, 0.2500)
Mg (0.5000, 0.7500, 0.7500)

Output
final energy: -15.1 eV per cell
formation energy: -2.22 eV/f.u.

***

Entry 4:
Computed, not measured: a relaxed CaMgAs2 crystal at the PBE level of DFT.

Unit cell a=5.0138 b=5.0138 c=5.0138 alpha=60.00 beta=60.00 gamma=60.00
Positions (direct):
As (0.0000, 0.0000, 0.0000)
As (0.2500, 0.2500, 0.2500)
Ca (0.5000, 0.5000, 0.5000)
Mg (0.7500, 0.7500, 0.7500)

Output
final energy: -13.5 eV per cell
formation energy: -0.59 eV/f.u.

***

Entry 5:
Computed, not measured: a relaxed CaMgAs3 crystal at the PBE level of DFT.

Unit cell a=5.0130 b=5.0130 c=5.0130 alpha=90.00 beta=90.00 gamma=90.00
Positions (direct):
Mg (0.0000, 0.0000, 0.0000)
As (0.0000, 0.5000, 0.0000)
As (0.0000, 0.0000, 0.5000)
As (0.5000, 0.0000, 0.0000)
Ca (0.5000, 0.5000, 0.5000)

Output
final energy: -17.7 eV per cell
formation energy: -0.12 eV/f.u.

***

Entry 6:
Computed, not measured: a relaxed Ca2MgAs crystal at the PBE level of DFT.

Unit cell a=6.2698 b=6.2698 c=6.2698 alpha=138.38 beta=138.38 gamma=60.32
Positions (direct):
As (0.7500, 0.2500, 0.5000)
Ca (0.0000, 0.0000, 0.0000)
Ca (0.2500, 0.7500, 0.5000)
Mg (0.5000, 0.5000, 0.0000)

Output
final energy: -11.8 eV per cell
formation energy: -1.55 eV/f.u.

***

Number 1: DOS at the Fermi energy 1.1 states/eV per cell, V 110.3 Å³ per cell. Number 2: DOS at the Fermi energy 0.8 states/eV per cell, V 86.7 Å³ per cell. Number 3: DOS at the Fermi energy 1.3 states/eV per cell, V 87.4 Å³ per cell. Number 4: DOS at the Fermi energy 3.6 states/eV per cell, V 89.1 Å³ per cell. Number 5: DOS at the Fermi energy 3.1 states/eV per cell, V 126.0 Å³ per cell. Number 6: DOS at the Fermi energy 3.5 states/eV per cell, V 107.6 Å³ per cell.